{"formula": "HfSnSbTe2", "functional": "PBE-GGA", "state": "optimized geometry", "lattice_angstrom": [[5.533, 0.000, 0.000], [0.000, 5.533, 0.000], [0.000, 0.000, 5.604]], "species": ["Hf", "Sn", "Sb", "Te", "Te"], "fractional_positions": [[0.000, 0.000, 0.000], [0.500, 0.500, 0.500], [0.000, 0.000, 0.500], [0.000, 0.500, 0.000], [0.500, 0.000, 0.000]], "raw_formation_energy_ev_per_atom": 0.048}